Below is crystalline PuTcBi at its relaxed geometry, with properties calculated at the PBE level.

Computed properties:
SG: No. 216

Lattice parameters (Å, degrees): 6.691 6.691 6.691 90.00 90.00 90.00
Fractional coordinates of all 12 atoms:
1 Pu 0.000 0.000 0.000
2 Pu 0.000 0.500 0.500
3 Pu 0.500 0.000 0.500
4 Pu 0.500 0.500 0.000
5 Tc 0.250 0.250 0.250
6 Tc 0.250 0.750 0.750
7 Tc 0.750 0.250 0.750
8 Tc 0.750 0.750 0.250
9 Bi 0.250 0.250 0.750
10 Bi 0.250 0.750 0.250
11 Bi 0.750 0.250 0.250
12 Bi 0.750 0.750 0.750


Below is crystalline Ba2FeBiS6 at its relaxed geometry, with properties calculated at the PBE level.

Computed properties:
SG: No. 225

Lattice parameters (Å, degrees): 7.045 7.045 7.045 60.00 60.00 60.00
Fractional coordinates of all 10 atoms:
1 Ba 0.250 0.250 0.250
2 Ba 0.750 0.750 0.750
3 Fe 0.000 0.000 0.000
4 Bi 0.500 0.500 0.500
5 S 0.232 0.232 0.768
6 S 0.232 0.768 0.232
7 S 0.232 0.768 0.768
8 S 0.768 0.232 0.232
9 S 0.768 0.232 0.768
10 S 0.768 0.768 0.232


Number 1: E -103.39 eV for the cell shown. Number 2: E -49.32 eV for the cell shown.